# ZrPt2Pb PBE-GGA relaxed
data_ZrPt2Pb
_chemical_formula_sum 'Zr4 Pt8 Pb4'
_space_group_name_H-M_alt 'I -4 2 d'
_space_group_IT_number 122
_space_group_name_Hall 'I -4 2bw'
_cell_length_a 7.615
_cell_length_b 7.615
_cell_length_c 5.876
_cell_angle_alpha 90.00
_cell_angle_beta 90.00
_cell_angle_gamma 90.00
loop_
_atom_site_label
_atom_site_fract_x
_atom_site_fract_y
_atom_site_fract_z
Zr1 0.000 0.000 0.000
Pt1 0.236 0.250 0.125
Pb1 0.000 0.000 0.500
# formation energy from the elements = -0.31 eV per atom